# GGA-PBE RbCa2WSe, optimized geometry
data_RbCa2WSe
_chemical_formula_sum 'Rb1 Ca2 W1 Se1'
_cell_length_a 5.7828
_cell_length_b 5.7828
_cell_length_c 4.8753
_cell_angle_alpha 90.00
_cell_angle_beta 90.00
_cell_angle_gamma 90.00
_symmetry_space_group_name_H-M 'P 4/m m m'
_symmetry_Int_Tables_number 123
_symmetry_space_group_name_Hall '-P 4 2'
loop_
_atom_site_label
_atom_site_type_symbol
_atom_site_fract_x
_atom_site_fract_y
_atom_site_fract_z
Rb1 Rb 0.0000 0.0000 0.0000
Ca1 Ca 0.0000 0.5000 0.0000
W1 W 0.0000 0.0000 0.5000
Se1 Se 0.5000 0.5000 0.5000
# Spin magnetization, Bohr magnetons per cell: 1.601
# Raw formation energy, eV/atom: 1.87